A plane-wave DFT calculation with GGA-PBE was carried out for a relaxed Mg14NbCu crystal.

Structure (POSCAR):
```
Mg14NbCu
1.0
3.123 -5.439 0.000
3.123 5.439 0.000
0.000 0.000 9.977
Mg Cu Nb
14 1 1
Direct
0.172 0.828 0.254 Mg
0.836 0.679 0.500 Mg
0.321 0.164 0.500 Mg
0.172 0.828 0.746 Mg
0.165 0.339 0.265 Mg
0.674 0.326 0.268 Mg
0.336 0.169 0.000 Mg
0.674 0.326 0.732 Mg
0.335 0.665 0.000 Mg
0.165 0.339 0.735 Mg
0.834 0.166 0.000 Mg
0.661 0.835 0.735 Mg
0.831 0.664 0.000 Mg
0.661 0.835 0.265 Mg
0.837 0.163 0.500 Cu
0.327 0.673 0.500 Nb
```

VASP energy, eV/cell: -35.31
E_form, kcal/mol of atoms: 1.70
Magnetization, μB/cell: 0.0

***

A plane-wave DFT calculation with GGA-PBE was carried out for a relaxed AlCr2Br crystal.

Structure (POSCAR):
```
AlCr2Br
1.0
-2.907 -0.681 -6.526
4.725 -0.192 1.123
0.185 -2.828 -1.263
Br Cr Al
1 2 1
Direct
0.500 0.500 0.000 Br
0.000 0.000 0.000 Cr
0.500 0.000 0.500 Cr
0.000 0.500 0.500 Al
```

VASP energy, eV/cell: -22.27
Magnetization, μB/cell: 7.7
Energy relative to the elements, uncorrected, eV per atom: 0.60

***

A plane-wave DFT calculation with GGA-PBE was carried out for a relaxed KInGe2I8 crystal.

Structure (POSCAR):
```
KInGe2I8
1.0
8.265 0.659 0.651
0.716 7.133 -0.117
0.850 -0.162 9.628
I Ge K In
8 2 1 1
Direct
0.809 0.230 0.826 I
0.191 0.770 0.174 I
0.919 0.321 0.236 I
0.642 0.712 0.526 I
0.358 0.288 0.474 I
0.081 0.679 0.764 I
0.686 0.855 0.104 I
0.314 0.145 0.896 I
0.607 0.560 0.276 Ge
0.393 0.440 0.724 Ge
0.000 0.000 0.500 K
0.000 0.000 0.000 In
```

VASP energy, eV/cell: -31.49
Magnetization, μB/cell: 0.0
Energy relative to the elements, uncorrected, eV per atom: -0.50

***

A plane-wave DFT calculation with GGA-PBE was carried out for a relaxed AsWS2Cl crystal.

Structure (POSCAR):
```
AsWS2Cl
1.0
-3.614 2.976 -0.582
-2.041 -3.057 -2.957
-2.279 -2.046 3.689
S As W Cl
2 1 1 1
Direct
0.500 0.000 0.000 S
0.000 0.500 0.000 S
0.500 0.500 0.500 As
0.000 0.000 0.000 W
0.000 0.000 0.500 Cl
```

VASP energy, eV/cell: -25.81
Magnetization, μB/cell: 2.3
Energy relative to the elements, uncorrected, eV per atom: 0.38

***

A plane-wave DFT calculation with GGA-PBE was carried out for a relaxed Nd3HoIn2 crystal.

Structure (POSCAR):
```
Nd3HoIn2
1.0
-4.937 -1.970 -0.109
0.422 -1.428 6.672
-3.692 9.134 2.189
In Nd Ho
4 6 2
Direct
0.500 0.710 0.854 In
0.500 0.210 0.146 In
0.000 0.292 0.643 In
0.000 0.792 0.357 In
0.500 0.693 0.182 Nd
0.000 0.307 0.327 Nd
0.000 0.807 0.673 Nd
0.000 0.965 0.036 Nd
0.500 0.193 0.818 Nd
0.000 0.465 0.964 Nd
0.500 0.532 0.539 Ho
0.500 0.032 0.461 Ho
```

VASP energy, eV/cell: -52.90
E_form, kcal/mol of atoms: -8.04
Magnetization, μB/cell: 0.0

***

A plane-wave DFT calculation with GGA-PBE was carried out for a relaxed IrPt4Se crystal.

Structure (POSCAR):
```
IrPt4Se
1.0
0.000 3.718 3.718
3.718 0.000 3.718
3.718 3.718 0.000
Pt Se Ir
4 1 1
Direct
0.375 0.375 0.876 Pt
0.375 0.375 0.375 Pt
0.375 0.876 0.375 Pt
0.876 0.375 0.375 Pt
0.750 0.750 0.750 Se
0.000 0.000 0.000 Ir
```

VASP energy, eV/cell: -32.75
Magnetization, μB/cell: 0.0
Energy relative to the elements, uncorrected, eV per atom: 0.63

***

A plane-wave DFT calculation with GGA-PBE was carried out for a relaxed ZrScAu2 crystal.

Structure (POSCAR):
```
ZrScAu2
1.0
4.429 -0.016 0.016
3.008 3.251 0.016
1.425 0.620 6.067
Au Sc Zr
2 1 1
Direct
0.500 0.500 0.498 Au
0.000 0.000 0.002 Au
0.250 0.250 0.250 Sc
0.750 0.750 0.750 Zr
```

VASP energy, eV/cell: -23.11
E_form, kcal/mol of atoms: -9.64
Magnetization, μB/cell: 0.0

***

A plane-wave DFT calculation with GGA-PBE was carried out for a relaxed RbAc2Ir crystal.

Structure (POSCAR):
```
RbAc2Ir
1.0
4.430 0.000 0.000
2.215 3.836 0.000
2.215 1.279 12.070
Ac Ir Rb
2 1 1
Direct
0.876 0.876 0.373 Ac
0.124 0.124 0.627 Ac
0.500 0.500 0.500 Ir
0.000 0.000 0.000 Rb
```

VASP energy, eV/cell: -19.53
E_form, kcal/mol of atoms: -8.57
Magnetization, μB/cell: 0.0

***

A plane-wave DFT calculation with GGA-PBE was carried out for a relaxed LaSc2Ga crystal.

Structure (POSCAR):
```
LaSc2Ga
1.0
4.575 0.000 0.000
0.000 4.628 0.000
0.000 0.000 4.628
Sc La Ga
2 1 1
Direct
0.000 0.000 0.500 Sc
0.000 0.500 0.000 Sc
0.500 0.500 0.500 La
0.500 0.000 0.000 Ga
```

VASP energy, eV/cell: -21.46
E_form, kcal/mol of atoms: -4.83
Magnetization, μB/cell: 0.8

***

A plane-wave DFT calculation with GGA-PBE was carried out for a relaxed CdNiPdPt crystal.

Structure (POSCAR):
```
CdNiPdPt
1.0
4.451 0.000 0.000
2.225 3.854 0.000
2.225 1.285 3.634
Ni Pt Pd Cd
1 1 1 1
Direct
0.000 0.000 0.000 Ni
0.750 0.750 0.750 Pt
0.250 0.250 0.250 Pd
0.500 0.500 0.500 Cd
```

VASP energy, eV/cell: -18.25
E_form, kcal/mol of atoms: -1.85
Magnetization, μB/cell: 0.8

***

A plane-wave DFT calculation with GGA-PBE was carried out for a relaxed InHg2Cl crystal.

Structure (POSCAR):
```
InHg2Cl
1.0
8.978 -0.546 -0.322
8.164 3.775 -0.322
8.164 1.538 3.462
In Cl Hg
1 1 2
Direct
0.493 0.493 0.493 In
0.773 0.773 0.773 Cl
0.994 0.994 0.994 Hg
0.241 0.241 0.241 Hg
```

VASP energy, eV/cell: -6.61
Magnetization, μB/cell: 0.0
Energy relative to the elements, uncorrected, eV per atom: -0.36

***

A plane-wave DFT calculation with GGA-PBE was carried out for a relaxed Th6SbC2 crystal.

Structure (POSCAR):
```
Th6SbC2
1.0
-1.253 -3.685 2.660
3.796 -0.168 5.732
-4.997 3.704 6.956
C Sb Th
2 1 6
Direct
0.156 0.783 0.905 C
0.844 0.217 0.095 C
0.000 0.500 0.500 Sb
0.687 0.680 0.945 Th
0.316 0.729 0.639 Th
0.684 0.271 0.361 Th
0.005 0.176 0.814 Th
0.313 0.320 0.055 Th
0.995 0.824 0.186 Th
```

VASP energy, eV/cell: -67.92
Magnetization, μB/cell: 0.0
Energy relative to the elements, uncorrected, eV per atom: -0.09

***

A plane-wave DFT calculation with GGA-PBE was carried out for a relaxed Dy6Er3ThSc2 crystal.

Structure (POSCAR):
```
Dy6Er3ThSc2
1.0
6.033 0.000 0.013
-3.015 5.225 0.013
-1.030 -1.783 11.442
Dy Sc Er Th
6 2 3 1
Direct
0.250 0.250 0.753 Dy
0.083 0.416 0.247 Dy
0.750 0.750 0.247 Dy
0.416 0.083 0.247 Dy
0.917 0.584 0.753 Dy
0.584 0.917 0.753 Dy
0.667 0.333 0.000 Sc
0.333 0.667 0.000 Sc
0.500 0.500 0.500 Er
0.833 0.167 0.500 Er
0.167 0.833 0.500 Er
0.000 0.000 0.000 Th
```

VASP energy, eV/cell: -60.90
E_form, kcal/mol of atoms: 0.93
Magnetization, μB/cell: 0.0

***

A plane-wave DFT calculation with GGA-PBE was carried out for a relaxed LaPrSmY crystal.

Structure (POSCAR):
```
LaPrSmY
1.0
-3.554 -1.964 -3.220
3.696 -2.699 -2.430
-0.831 -1.652 6.092
La Y Pr Sm
1 1 1 1
Direct
0.250 0.750 0.500 La
0.750 0.250 0.500 Y
0.500 0.500 0.000 Pr
0.000 0.000 0.000 Sm
```

VASP energy, eV/cell: -20.79
E_form, kcal/mol of atoms: 0.57
Magnetization, μB/cell: 0.0

***

A plane-wave DFT calculation with GGA-PBE was carried out for a relaxed TbDy3Bi4 crystal.

Structure (POSCAR):
```
TbDy3Bi4
1.0
6.327 0.000 0.000
0.000 6.327 0.000
0.000 0.000 6.327
Bi Dy Tb
4 3 1
Direct
0.000 0.000 0.500 Bi
0.500 0.500 0.500 Bi
0.000 0.500 0.000 Bi
0.500 0.000 0.000 Bi
0.000 0.500 0.500 Dy
0.500 0.000 0.500 Dy
0.500 0.500 0.000 Dy
0.000 0.000 0.000 Tb
```

VASP energy, eV/cell: -40.92
E_form, kcal/mol of atoms: -20.06
Magnetization, μB/cell: 0.0

***

A plane-wave DFT calculation with GGA-PBE was carried out for a relaxed HoSc3Co4 crystal.

Structure (POSCAR):
```
HoSc3Co4
1.0
4.476 0.000 0.000
0.000 6.375 0.000
0.000 0.000 8.952
Co Ho Sc
8 2 6
Direct
0.000 0.759 0.250 Co
0.500 0.759 0.500 Co
0.000 0.759 0.750 Co
0.000 0.241 0.750 Co
0.000 0.241 0.250 Co
0.500 0.759 0.000 Co
0.500 0.241 0.000 Co
0.500 0.241 0.500 Co
0.000 0.500 0.000 Ho
0.000 0.500 0.500 Ho
0.500 0.000 0.250 Sc
0.500 0.500 0.250 Sc
0.500 0.500 0.750 Sc
0.000 0.000 0.500 Sc
0.000 0.000 0.000 Sc
0.500 0.000 0.750 Sc
```

VASP energy, eV/cell: -108.62
E_form, kcal/mol of atoms: -6.68
Magnetization, μB/cell: 1.9

***

A plane-wave DFT calculation with GGA-PBE was carried out for a relaxed HoPa2Fe9 crystal.

Structure (POSCAR):
```
HoPa2Fe9
1.0
4.861 0.000 0.000
2.431 4.210 0.000
2.431 1.403 8.369
Pa Fe Ho
2 9 1
Direct
0.858 0.858 0.426 Pa
0.142 0.142 0.574 Pa
0.580 0.580 0.759 Fe
0.919 0.420 0.241 Fe
0.420 0.420 0.241 Fe
0.580 0.081 0.759 Fe
0.500 0.500 0.500 Fe
0.333 0.333 0.001 Fe
0.081 0.580 0.759 Fe
0.420 0.919 0.241 Fe
0.667 0.667 0.999 Fe
0.000 0.000 0.000 Ho
```

VASP energy, eV/cell: -100.90
E_form, kcal/mol of atoms: -2.25
Magnetization, μB/cell: 3.7

***

A plane-wave DFT calculation with GGA-PBE was carried out for a relaxed SrTeH crystal.

Structure (POSCAR):
```
SrTeH
1.0
-2.732 -3.616 -3.934
-4.621 -2.829 1.233
-8.366 2.255 -0.839
Sr Te H
2 2 2
Direct
0.176 0.396 0.251 Sr
0.824 0.604 0.749 Sr
0.824 0.105 0.247 Te
0.176 0.895 0.753 Te
0.531 0.474 0.464 H
0.469 0.526 0.536 H
```

VASP energy, eV/cell: -22.82
Magnetization, μB/cell: 0.0

***

A plane-wave DFT calculation with GGA-PBE was carried out for a relaxed YHgPb3 crystal.

Structure (POSCAR):
```
YHgPb3
1.0
-1.691 -1.180 5.266
-5.220 -1.042 -1.909
1.368 -5.432 -0.778
Pb Y Hg
3 1 1
Direct
0.500 0.000 0.000 Pb
0.000 0.500 0.000 Pb
0.000 0.000 0.500 Pb
0.500 0.500 0.500 Y
0.000 0.000 0.000 Hg
```

VASP energy, eV/cell: -15.93
E_form, kcal/mol of atoms: 9.05
Magnetization, μB/cell: 0.0

***

A plane-wave DFT calculation with GGA-PBE was carried out for a relaxed PuGeH crystal.

Structure (POSCAR):
```
PuGeH
1.0
-0.739 -2.487 -1.751
-0.330 -1.726 2.593
-10.168 0.429 0.883
Pu Ge H
2 2 2
Direct
0.953 0.372 0.594 Pu
0.292 0.710 0.918 Pu
0.560 0.979 0.380 Ge
0.685 0.102 0.132 Ge
0.409 0.828 0.682 H
0.836 0.254 0.830 H
```

VASP energy, eV/cell: -46.17
Magnetization, μB/cell: 11.5